Entry from the Alexandria database: an optimized crystal structure of PbWO2 (PBE with a Hubbard U).

Unit cell a=4.266 b=4.266 c=4.266 alpha=60.00 beta=60.00 gamma=60.00
Fractional positions:
Pb: 0.500 0.500 0.500
O: 0.250 0.250 0.250
O: 0.750 0.750 0.750
W: 0.000 0.000 0.000

Values from the calculation:
- Fermi-level density of states (states/eV per atom) = 0.0000
- uncorrected energy (eV/atom) = -5.22